Density functional theory data (PBE) for a relaxed structure of PuSBr.

SG = Pmmn, No. 59
formation energy from raw total energies = -1650 meV per atom
magnetization = 10.00 μB/cell

Cell lengths 4.1676, 5.3322, 9.2207 Å; angles 90.00, 90.00, 90.00 degrees
With the nearest neighbours (Å) after each atom.
Fractional positions:
Br1 0.0000 0.0000 0.3449  2 Pu 2.89
S1 0.5000 0.5000 0.0671  4 Pu 2.73-2.76
Pu1 0.0000 0.5000 0.8715  4 S 2.73-2.76, 2 Br 2.89
S2 0.0000 0.0000 0.9329  4 Pu 2.73-2.76
Pu2 0.5000 0.0000 0.1285  4 S 2.73-2.76, 2 Br 2.89
Br2 0.5000 0.5000 0.6551  2 Pu 2.89

***

Density functional theory data (PBE) for a relaxed structure of BaCa2CdRh.

SG = P4/mmm, No. 123
formation enthalpy at 0 K = -0.24 eV per atom
magnetization = 0.00 μB/cell

Cell lengths 5.4640, 5.4640, 5.5372 Å; angles 90.00, 90.00, 90.00 degrees
With the nearest neighbours (Å) after each atom.
Fractional positions:
Ba1 0.5000 0.5000 0.5000  4 Cd 3.86, 8 Ca 3.89
Rh1 0.0000 0.0000 0.0000  4 Ca 2.73, 2 Cd 2.77
Ca1 0.0000 0.5000 0.0000  2 Rh 2.73
Cd1 0.0000 0.0000 0.5000  2 Rh 2.77
Ca2 0.5000 0.0000 0.0000  2 Rh 2.73

***

Density functional theory data (PBE) for a relaxed structure of HoTh2FeC2.

SG = Pnnm, No. 58
formation enthalpy at 0 K = -0.14 eV per atom
magnetization = 1.90 μB/cell

Cell lengths 3.7156, 5.7210, 11.0717 Å; angles 90.00, 90.00, 90.00 degrees
With the nearest neighbours (Å) after each atom.
Fractional positions:
Th1 0.0000 0.5290 0.2946  3 C 2.53-2.56
C1 0.0000 0.2636 0.1084  1 Fe 1.93
C2 0.5000 0.7636 0.3916  1 Fe 1.93
Fe1 0.5000 0.5000 0.5000  2 C 1.93
Th2 0.0000 0.4710 0.7054  3 C 2.53-2.56
Th3 0.5000 0.0290 0.2054  3 C 2.53-2.56
Fe2 0.0000 0.0000 0.0000  2 C 1.93
Ho1 0.5000 0.5000 0.0000  4 C 2.59
Ho2 0.0000 0.0000 0.5000  4 C 2.59
C3 0.0000 0.7364 0.8916  1 Fe 1.93
Th4 0.5000 0.9710 0.7946  3 C 2.53-2.56
C4 0.5000 0.2364 0.6084  1 Fe 1.93

***

Density functional theory data (PBE) for a relaxed structure of Tl5Ga2Au5.

SG = C2/m, No. 12
formation enthalpy at 0 K = -0.06 eV per atom
magnetization = 0.00 μB/cell

Cell lengths 3.9280, 7.2013, 11.9810 Å; angles 71.77, 80.57, 74.17 degrees
With the nearest neighbours (Å) after each atom.
Fractional positions:
Au1 0.0000 0.0000 0.0000  2 Ga 2.59
Tl1 0.2412 0.1540 0.3635  5 Au 2.96-3.09
Tl2 0.5000 0.5000 0.5000  4 Au 3.00
Tl3 0.7588 0.8460 0.6365  5 Au 2.96-3.09
Au2 0.3378 0.5360 0.7885  2 Ga 2.62
Tl4 0.6683 0.7257 0.9378  5 Au 2.97-3.23
Tl5 0.3317 0.2743 0.0622  5 Au 2.97-3.23
Au3 0.6622 0.4640 0.2115  2 Ga 2.62
Ga1 0.0412 0.7190 0.1987  4 Au 2.55-2.62
Au4 0.8929 0.8258 0.3883  1 Ga 2.55
Au5 0.1071 0.1742 0.6117  1 Ga 2.55
Ga2 0.9588 0.2810 0.8013  4 Au 2.55-2.62

***

What is the formula in the second record?
BaCa2CdRh

***

What is the magnetization in the second record?
0.00 μB/cell

***

Which value of magnetization does entry 2 give?
0.00 μB/cell